This record from Alexandria via LeMat-Bulk describes LaSm3Dy2 after structural relaxation. The functional is GGA-PBE.

Cell and atoms, written as extended XYZ:
```
6
Lattice="-1.276 -3.222 -0.386 4.249 -1.201 -4.018 4.450 -1.007 9.443" Properties=species:S:1:pos:R:3 pbc="T T T"
La 0.000 0.000 0.000
Sm 2.125 -0.601 -2.009
Sm 5.131 -4.187 2.241
Sm 2.293 -1.243 2.797
Dy 3.128 -3.101 -0.201
Dy 4.296 -2.329 5.239
```

Values from the calculation:
N(E_F) = 1.862 states/eV/atom
calculated total energy = -26.40 eV per cell
formation energy from the elements = 0.3157 eV per atom
spin magnetization = 0.0 μB/f.u.
polymorph energy (0 for the lowest one) = 255 meV/atom